Sr2PbCl2O2: relaxed, PBE.

Results
Magnetization   0.000 μB per atom
E_form (uncorrected)   -1888 meV/atom
E_tot   -4.84 eV per atom

Cell: 4.7035 4.7035 15.1495 Å, 90.00 90.00 90.00°
With the nearest neighbours (Å) after each atom.
Space group I4/mmm (No. 139)
Asymmetric unit:
Sr: 0.0000 0.0000 0.1091 (multiplicity 4)  4 O 2.87, 1 Cl 2.92
Pb: 0.0000 0.0000 0.5000 (multiplicity 2)  4 O 2.35
Cl: 0.0000 0.0000 0.3022 (multiplicity 4)  1 Sr 2.92, 1 Pb 3.00
O: 0.0000 0.5000 0.0000 (multiplicity 4)  2 Pb 2.35